No. 1
{"formula": "KRb2Ag", "functional": "PBE", "state": "relaxed", "sg": "No. 5", "delta_e_f_ev_per_atom": 0.0709, "lattice_angstrom": [[6.555, -4.120, 0.000], [6.555, 4.120, 0.000], [-1.770, 0.000, 4.499]], "species": ["K", "Rb", "Rb", "Ag"], "frac_coords": [[0.000, 0.000, 0.000], [0.314, 0.321, 0.818], [0.679, 0.686, 0.182], [0.706, 0.294, 0.500]]}

=====

No. 2
{"formula": "Er3PaSb4", "functional": "PBE", "state": "relaxed", "sg": "No. 65", "formation_energy_uncorrected_mev_per_atom": -926, "lattice_angstrom": [[4.360, -6.155, 0.000], [4.360, 6.155, 0.000], [0.000, 0.000, 4.354]], "species": ["Er", "Er", "Er", "Pa", "Sb", "Sb", "Sb", "Sb"], "frac_coords": [[0.000, 0.000, 0.000], [0.000, 0.500, 0.500], [0.500, 0.000, 0.500], [0.500, 0.500, 0.000], [0.248, 0.248, 0.500], [0.250, 0.750, 0.000], [0.750, 0.250, 0.000], [0.752, 0.752, 0.500]]}

=====

No. 3
{"formula": "EuFe4P12", "functional": "PBE", "state": "relaxed", "sg": "No. 204", "delta_e_f_ev_per_atom": -0.5611, "lattice_angstrom": [[-3.903, 3.903, 3.903], [3.903, -3.903, 3.903], [3.903, 3.903, -3.903]], "species": ["Eu", "Fe", "Fe", "Fe", "Fe", "P", "P", "P", "P", "P", "P", "P", "P", "P", "P", "P", "P"], "frac_coords": [[0.000, 0.000, 0.000], [0.000, 0.000, 0.500], [0.000, 0.500, 0.000], [0.500, 0.000, 0.000], [0.500, 0.500, 0.500], [0.151, 0.504, 0.353], [0.151, 0.798, 0.647], [0.202, 0.353, 0.849], [0.353, 0.151, 0.504], [0.353, 0.849, 0.202], [0.496, 0.647, 0.849], [0.504, 0.353, 0.151], [0.647, 0.151, 0.798], [0.647, 0.849, 0.496], [0.798, 0.647, 0.151], [0.849, 0.202, 0.353], [0.849, 0.496, 0.647]]}

=====

No. 4
{"formula": "Sr2GeP2", "functional": "PBE", "state": "relaxed", "sg": "No. 12", "delta_e_f_ev_per_atom": -0.7244, "lattice_angstrom": [[6.708, -3.117, 0.000], [6.708, 3.117, 0.000], [-4.327, 0.000, 7.433]], "species": ["Sr", "Sr", "Sr", "Sr", "Ge", "Ge", "P", "P", "P", "P"], "frac_coords": [[0.113, 0.113, 0.411], [0.355, 0.355, 0.207], [0.645, 0.645, 0.793], [0.887, 0.887, 0.589], [0.351, 0.351, 0.840], [0.649, 0.649, 0.160], [0.159, 0.159, 0.787], [0.374, 0.374, 0.591], [0.626, 0.626, 0.409], [0.841, 0.841, 0.213]]}

=====

No. 5
{"formula": "PrGdLuPb", "functional": "PBE", "state": "relaxed", "sg": "No. 216", "delta_e_f_ev_per_atom": -0.1526, "lattice_angstrom": [[0.000, 3.928, 3.928], [3.928, 0.000, 3.928], [3.928, 3.928, 0.000]], "species": ["Pr", "Gd", "Lu", "Pb"], "frac_coords": [[0.000, 0.000, 0.000], [0.500, 0.500, 0.500], [0.250, 0.250, 0.250], [0.750, 0.750, 0.750]]}

=====

No. 6
{"formula": "NiRhPb2", "functional": "PBE", "state": "relaxed", "sg": "No. 38", "delta_e_f_ev_per_atom": 0.0582, "lattice_angstrom": [[4.039, 0.000, 0.000], [0.000, 1.870, 5.222], [0.000, -1.870, 5.222]], "species": ["Ni", "Rh", "Pb", "Pb"], "frac_coords": [[0.000, 0.000, 0.000], [0.500, 0.152, 0.152], [0.000, 0.730, 0.730], [0.500, 0.437, 0.437]]}

=====

No. 7
{"formula": "Nd3Si5Ni6", "functional": "PBE", "state": "relaxed", "sg": "No. 59", "formation_energy_uncorrected_mev_per_atom": -699, "lattice_angstrom": [[3.943, 0.000, 0.000], [0.000, 11.798, 0.000], [0.000, 0.000, 9.840]], "species": ["Nd", "Nd", "Nd", "Nd", "Nd", "Nd", "Si", "Si", "Si", "Si", "Si", "Si", "Si", "Si", "Si", "Si", "Ni", "Ni", "Ni", "Ni", "Ni", "Ni", "Ni", "Ni", "Ni", "Ni", "Ni", "Ni"], "frac_coords": [[0.250, 0.092, 0.250], [0.250, 0.408, 0.250], [0.250, 0.750, 0.246], [0.750, 0.250, 0.754], [0.750, 0.592, 0.750], [0.750, 0.908, 0.750], [0.250, 0.077, 0.864], [0.250, 0.423, 0.864], [0.250, 0.635, 0.512], [0.250, 0.750, 0.900], [0.250, 0.865, 0.512], [0.750, 0.135, 0.488], [0.750, 0.250, 0.100], [0.750, 0.365, 0.488], [0.750, 0.577, 0.136], [0.750, 0.923, 0.136], [0.250, 0.050, 0.587], [0.250, 0.250, 0.504], [0.250, 0.250, 0.983], [0.250, 0.450, 0.587], [0.250, 0.579, 0.009], [0.250, 0.921, 0.009], [0.750, 0.079, 0.991], [0.750, 0.421, 0.991], [0.750, 0.550, 0.413], [0.750, 0.750, 0.017], [0.750, 0.750, 0.496], [0.750, 0.950, 0.413]]}

=====

No. 8
{"formula": "BeHgSe2O8", "functional": "PBE", "state": "relaxed", "sg": "No. 12", "formation_energy_uncorrected_mev_per_atom": -788, "lattice_angstrom": [[3.983, -2.735, 0.000], [3.983, 2.735, 0.000], [-0.084, 0.000, 7.188]], "species": ["Be", "Hg", "Se", "Se", "O", "O", "O", "O", "O", "O", "O", "O"], "frac_coords": [[0.000, 0.000, 0.000], [0.000, 0.000, 0.500], [0.349, 0.349, 0.212], [0.651, 0.651, 0.788], [0.211, 0.211, 0.038], [0.223, 0.722, 0.199], [0.272, 0.272, 0.430], [0.278, 0.777, 0.801], [0.722, 0.223, 0.199], [0.728, 0.728, 0.570], [0.777, 0.278, 0.801], [0.789, 0.789, 0.962]]}

=====

V values, unit Å³/atom, following the record order: 60.76 29.21 13.99 31.09 30.30 19.72 16.35 13.05.